PbClF: optimized geometry, GGA-PBE.

## Properties
Uncorrected formation energy (eV/atom): -1.743
Total moment (μB/f.u.): 0.0
Calculated total energy (eV per atom): -4.218
Mass density (Mg/m³): 6.08

extended XYZ file:
```
6
Lattice="-1.6379 -1.8842 3.8139 -3.2451 -2.0365 -2.4820 5.6067 -4.2149 -1.3507" Properties=species:S:1:pos:R:3 pbc="T T T"
Pb -2.6915 -2.5191 1.3630
Pb -0.4783 -4.6851 -1.6146
F -1.9160 -4.7769 0.5541
F 0.6377 -6.9121 -1.1998
Cl 2.4216 -4.2117 -1.6479
Cl -0.1428 -2.1010 -0.0243
```